Density functional theory data (PBE with a Hubbard U) for a geometry-optimized K2NiOsO6 structure.

Cell and atoms, written as POSCAR:
```
K2NiOsO6
1.0
5.9675 0.0000 0.0000
-2.9837 5.1680 0.0000
0.0000 0.0000 5.1048
K Ni Os O
2 1 1 6
Direct
0.3333 0.6667 0.2505
0.6667 0.3333 0.7495
0.0000 0.0000 0.5000
0.0000 0.0000 0.0000
0.1459 0.2918 0.7775
0.1459 0.8541 0.7775
0.2918 0.1459 0.2225
0.7082 0.8541 0.7775
0.8541 0.1459 0.2225
0.8541 0.7082 0.2225
```

Properties
Space-group type   P-3m1 (164)
Mass density   4.5 Mg/m³
Magnetization   1.98 Bohr magnetons per cell
Total DFT energy (no corrections)   -5.716 eV per atom